(1)
Computed, not measured: crystalline Pm2BiC2 at its relaxed geometry at the PBE-GGA level of DFT.

Cell and atoms, written as CIF:
```
data_Pm2BiC2
_chemical_formula_sum 'Pm4 Bi2 C4'
_cell_length_a 4.662
_cell_length_b 6.438
_cell_length_c 7.871
_cell_angle_alpha 89.96
_cell_angle_beta 107.22
_cell_angle_gamma 90.00
_space_group_name_H-M_alt 'P 1'
_space_group_IT_number 1
_space_group_name_Hall 'P 1'
loop_
_atom_site_label
_atom_site_type_symbol
_atom_site_fract_x
_atom_site_fract_y
_atom_site_fract_z
_atom_site_occupancy
Pm1 Pm 0.880 0.185 0.308 1
Pm2 Pm 0.427 0.685 0.308 1
Pm3 Pm 0.120 0.815 0.692 1
Pm4 Pm 0.573 0.315 0.692 1
Bi1 Bi 0.778 0.750 0.000 1
Bi2 Bi 0.222 0.250 0.000 1
C1 C 0.882 0.477 0.527 1
C2 C 0.355 0.023 0.473 1
C3 C 0.118 0.523 0.473 1
C4 C 0.645 0.977 0.527 1
```

Summary:
Space group ... C2/c, No. 15
Energy relative to the elements ... -0.41 eV/atom

(2)
Computed, not measured: crystalline Pm3Zn2Cu at its relaxed geometry at the PBE-GGA level of DFT.

Cell and atoms, written as CIF:
```
data_Pm3Zn2Cu
_chemical_formula_sum 'Pm3 Zn2 Cu1'
_cell_length_a 3.636
_cell_length_b 3.636
_cell_length_c 10.856
_cell_angle_alpha 90.00
_cell_angle_beta 90.00
_cell_angle_gamma 90.00
_space_group_name_H-M_alt 'P 1'
_space_group_IT_number 1
_space_group_name_Hall 'P 1'
loop_
_atom_site_label
_atom_site_type_symbol
_atom_site_fract_x
_atom_site_fract_y
_atom_site_fract_z
_atom_site_occupancy
Pm1 Pm 0.000 0.000 0.000 1
Pm2 Pm 0.000 0.000 0.663 1
Pm3 Pm 0.000 0.000 0.337 1
Zn1 Zn 0.500 0.500 0.834 1
Zn2 Zn 0.500 0.500 0.166 1
Cu1 Cu 0.500 0.500 0.500 1
```

Summary:
Space group ... P4/mmm, No. 123
Energy relative to the elements ... -0.26 eV/atom
Offset from the most stable computed form ... 0.000 eV/atom

(3)
Computed, not measured: crystalline NaPuAgO4 at its relaxed geometry at the PBE-GGA level of DFT.

Cell and atoms, written as CIF:
```
data_NaPuAgO4
_chemical_formula_sum 'Na2 Pu2 Ag2 O8'
_cell_length_a 6.734
_cell_length_b 6.788
_cell_length_c 7.090
_cell_angle_alpha 121.48
_cell_angle_beta 90.00
_cell_angle_gamma 119.74
_space_group_name_H-M_alt 'P 1'
_space_group_IT_number 1
_space_group_name_Hall 'P 1'
loop_
_atom_site_label
_atom_site_type_symbol
_atom_site_fract_x
_atom_site_fract_y
_atom_site_fract_z
_atom_site_occupancy
Na1 Na 0.880 0.761 0.130 1
Na2 Na 0.120 0.239 0.870 1
Pu1 Pu 0.500 0.000 0.500 1
Pu2 Pu 0.500 0.000 0.000 1
Ag1 Ag 0.500 0.500 0.500 1
Ag2 Ag 0.000 0.500 0.500 1
O1 O 0.698 0.397 0.729 1
O2 O 0.310 0.030 0.265 1
O3 O 0.720 0.030 0.265 1
O4 O 0.698 0.397 0.168 1
O5 O 0.302 0.603 0.832 1
O6 O 0.690 0.970 0.735 1
O7 O 0.280 0.970 0.735 1
O8 O 0.302 0.603 0.271 1
```

Summary:
Space group ... Imma, No. 74
Raw formation energy ... -1247.9 kJ/mol of formula units

(4)
Computed, not measured: crystalline ScBeGa2 at its relaxed geometry at the PBE-GGA level of DFT.

Cell and atoms, written as CIF:
```
data_ScBeGa2
_chemical_formula_sum 'Sc1 Be1 Ga2'
_cell_length_a 3.965
_cell_length_b 3.950
_cell_length_c 3.950
_cell_angle_alpha 90.00
_cell_angle_beta 90.00
_cell_angle_gamma 90.00
_space_group_name_H-M_alt 'P 1'
_space_group_IT_number 1
_space_group_name_Hall 'P 1'
loop_
_atom_site_label
_atom_site_type_symbol
_atom_site_fract_x
_atom_site_fract_y
_atom_site_fract_z
_atom_site_occupancy
Sc1 Sc 0.500 0.500 0.500 1
Be1 Be 0.500 0.000 0.000 1
Ga1 Ga 0.000 0.000 0.500 1
Ga2 Ga 0.000 0.500 0.000 1
```

Summary:
Space group ... P4/mmm, No. 123
Energy relative to the elements ... -0.32 eV/atom

(5)
Computed, not measured: crystalline CaVIr at its relaxed geometry at the PBE-GGA level of DFT.

Cell and atoms, written as CIF:
```
data_CaVIr
_chemical_formula_sum 'Ca2 V2 Ir2'
_cell_length_a 4.142
_cell_length_b 4.142
_cell_length_c 9.694
_cell_angle_alpha 90.00
_cell_angle_beta 90.00
_cell_angle_gamma 120.00
_space_group_name_H-M_alt 'P 1'
_space_group_IT_number 1
_space_group_name_Hall 'P 1'
loop_
_atom_site_label
_atom_site_type_symbol
_atom_site_fract_x
_atom_site_fract_y
_atom_site_fract_z
_atom_site_occupancy
Ca1 Ca 0.333 0.667 0.991 1
Ca2 Ca 0.667 0.333 0.352 1
Ir1 Ir 0.333 0.667 0.592 1
Ir2 Ir 0.000 0.000 0.800 1
V1 V 0.000 0.000 0.549 1
V2 V 0.667 0.333 0.749 1
```

Summary:
Space group ... P3m1, No. 156
Energy relative to the elements ... -0.11 eV/atom
Offset from the most stable computed form ... 0.117 eV/atom

(6)
Computed, not measured: crystalline TbSc6Tl at its relaxed geometry at the PBE-GGA level of DFT.

Cell and atoms, written as CIF:
```
data_TbSc6Tl
_chemical_formula_sum 'Tb1 Sc6 Tl1'
_cell_length_a 4.590
_cell_length_b 4.590
_cell_length_c 9.417
_cell_angle_alpha 90.00
_cell_angle_beta 90.00
_cell_angle_gamma 90.00
_space_group_name_H-M_alt 'P 1'
_space_group_IT_number 1
_space_group_name_Hall 'P 1'
loop_
_atom_site_label
_atom_site_type_symbol
_atom_site_fract_x
_atom_site_fract_y
_atom_site_fract_z
_atom_site_occupancy
Tb1 Tb 0.000 0.000 0.500 1
Sc1 Sc 0.500 0.500 0.000 1
Sc2 Sc 0.500 0.500 0.500 1
Sc3 Sc 0.500 0.000 0.243 1
Sc4 Sc 0.500 0.000 0.757 1
Sc5 Sc 0.000 0.500 0.243 1
Sc6 Sc 0.000 0.500 0.757 1
Tl1 Tl 0.000 0.000 0.000 1
```

Summary:
Space group ... P4/mmm, No. 123
Energy relative to the elements ... -0.05 eV/atom
Offset from the most stable computed form ... 0.000 eV/atom

| no. | electronic total energy (eV/atom) | N(E_F) (states/eV per cell) |
| --- | --- | --- |
| 1 | -6.781 | 3.49 |
| 2 | -3.747 | 5.91 |
| 3 | -7.324 | 4.54 |
| 4 | -4.351 | 1.24 |
| 5 | -6.770 | 5.61 |
| 6 | -5.674 | 12.97 |